1.
Compound: TaHgB3
Source: Alexandria
Functional: PBE
Structure: relaxed

```
data_TaHgB3
_chemical_formula_sum 'Ta1 Hg1 B3'
_cell_length_a 4.363
_cell_length_b 4.363
_cell_length_c 4.363
_cell_angle_alpha 90.00
_cell_angle_beta 90.00
_cell_angle_gamma 90.00
_symmetry_space_group_name_H-M 'P m -3 m'
_symmetry_Int_Tables_number 221
_symmetry_space_group_name_Hall '-P 4 2 3'
loop_
_atom_site_label
_atom_site_type_symbol
_atom_site_fract_x
_atom_site_fract_y
_atom_site_fract_z
Ta1 Ta 0.000 0.000 0.000
Hg1 Hg 0.500 0.500 0.500
B1 B 0.000 0.000 0.500
```

Computed properties:
Size of the total moment = 0.00 μB per formula unit
Energy of formation = 1.56 eV per atom
Uncorrected energy = -4.878 eV per atom
E above lowest polymorph = 0.0000 eV per atom

---

2.
Compound: Ta2HgB
Source: Alexandria
Functional: PBE
Structure: relaxed

```
data_Ta2HgB
_chemical_formula_sum 'Ta8 Hg4 B4'
_cell_length_a 6.855
_cell_length_b 6.855
_cell_length_c 5.662
_cell_angle_alpha 90.00
_cell_angle_beta 90.00
_cell_angle_gamma 90.00
_symmetry_space_group_name_H-M 'I -4 2 d'
_symmetry_Int_Tables_number 122
_symmetry_space_group_name_Hall 'I -4 2bw'
loop_
_atom_site_label
_atom_site_type_symbol
_atom_site_fract_x
_atom_site_fract_y
_atom_site_fract_z
Ta1 Ta 0.193 0.250 0.125
Hg1 Hg 0.000 0.000 0.500
B1 B 0.000 0.000 0.000
```

Computed properties:
Size of the total moment = 0.00 μB per formula unit
Energy of formation = 0.47 eV per atom
Uncorrected energy = -7.205 eV per atom
E above lowest polymorph = 0.0000 eV per atom

---

3.
Compound: TaHg3B
Source: Alexandria
Functional: PBE
Structure: relaxed

```
data_TaHg3B
_chemical_formula_sum 'Ta1 Hg3 B1'
_cell_length_a 4.578
_cell_length_b 4.578
_cell_length_c 4.578
_cell_angle_alpha 90.00
_cell_angle_beta 90.00
_cell_angle_gamma 90.00
_symmetry_space_group_name_H-M 'P m -3 m'
_symmetry_Int_Tables_number 221
_symmetry_space_group_name_Hall '-P 4 2 3'
loop_
_atom_site_label
_atom_site_type_symbol
_atom_site_fract_x
_atom_site_fract_y
_atom_site_fract_z
Ta1 Ta 0.000 0.000 0.000
Hg1 Hg 0.000 0.500 0.500
B1 B 0.500 0.500 0.500
```

Computed properties:
Size of the total moment = 0.00 μB per formula unit
Energy of formation = 1.24 eV per atom
Uncorrected energy = -2.651 eV per atom
E above lowest polymorph = 0.0000 eV per atom

---

4.
Compound: TaHgB3
Source: Alexandria
Functional: PBE
Structure: relaxed

```
data_TaHgB3
_chemical_formula_sum 'Ta1 Hg1 B3'
_cell_length_a 4.213
_cell_length_b 4.213
_cell_length_c 4.213
_cell_angle_alpha 90.00
_cell_angle_beta 90.00
_cell_angle_gamma 90.00
_symmetry_space_group_name_H-M 'P m -3 m'
_symmetry_Int_Tables_number 221
_symmetry_space_group_name_Hall '-P 4 2 3'
loop_
_atom_site_label
_atom_site_type_symbol
_atom_site_fract_x
_atom_site_fract_y
_atom_site_fract_z
Ta1 Ta 0.000 0.000 0.000
Hg1 Hg 0.500 0.500 0.500
B1 B 0.000 0.500 0.500
```

Computed properties:
Size of the total moment = 0.00 μB per formula unit
Energy of formation = 2.49 eV per atom
Uncorrected energy = -3.943 eV per atom
E above lowest polymorph = 0.9358 eV per atom

---

5.
Compound: TaTcHgB2
Source: Alexandria
Functional: PBE
Structure: relaxed

```
data_TaTcHgB2
_chemical_formula_sum 'Ta1 Tc1 Hg1 B2'
_cell_length_a 4.005
_cell_length_b 4.005
_cell_length_c 5.478
_cell_angle_alpha 90.00
_cell_angle_beta 90.00
_cell_angle_gamma 90.00
_symmetry_space_group_name_H-M 'P 4/m m m'
_symmetry_Int_Tables_number 123
_symmetry_space_group_name_Hall '-P 4 2'
loop_
_atom_site_label
_atom_site_type_symbol
_atom_site_fract_x
_atom_site_fract_y
_atom_site_fract_z
Ta1 Ta 0.000 0.000 0.000
Tc1 Tc 0.500 0.500 0.000
Hg1 Hg 0.500 0.500 0.500
B1 B 0.000 0.500 0.500
```

Computed properties:
Size of the total moment = 0.00 μB per formula unit
Energy of formation = 2.24 eV per atom
Uncorrected energy = -4.934 eV per atom

---

6.
Compound: TaTi2HgB
Source: Alexandria
Functional: PBE
Structure: relaxed

```
data_TaTi2HgB
_chemical_formula_sum 'Ta1 Ti2 Hg1 B1'
_cell_length_a 4.356
_cell_length_b 4.356
_cell_length_c 4.287
_cell_angle_alpha 90.00
_cell_angle_beta 90.00
_cell_angle_gamma 90.00
_symmetry_space_group_name_H-M 'P 4/m m m'
_symmetry_Int_Tables_number 123
_symmetry_space_group_name_Hall '-P 4 2'
loop_
_atom_site_label
_atom_site_type_symbol
_atom_site_fract_x
_atom_site_fract_y
_atom_site_fract_z
Ta1 Ta 0.000 0.000 0.000
Ti1 Ti 0.000 0.500 0.500
Hg1 Hg 0.500 0.500 0.000
B1 B 0.500 0.500 0.500
```

Computed properties:
Size of the total moment = 0.00 μB per formula unit
Energy of formation = 0.32 eV per atom
Uncorrected energy = -6.607 eV per atom

---

7.
Compound: TaTlHg2B
Source: Alexandria
Functional: PBE
Structure: relaxed

```
data_TaTlHg2B
_chemical_formula_sum 'Ta1 Tl1 Hg2 B1'
_cell_length_a 4.333
_cell_length_b 4.333
_cell_length_c 5.832
_cell_angle_alpha 90.00
_cell_angle_beta 90.00
_cell_angle_gamma 90.00
_symmetry_space_group_name_H-M 'P 4/m m m'
_symmetry_Int_Tables_number 123
_symmetry_space_group_name_Hall '-P 4 2'
loop_
_atom_site_label
_atom_site_type_symbol
_atom_site_fract_x
_atom_site_fract_y
_atom_site_fract_z
Ta1 Ta 0.000 0.000 0.000
Tl1 Tl 0.500 0.500 0.000
Hg1 Hg 0.000 0.500 0.500
B1 B 0.500 0.500 0.500
```

Computed properties:
Size of the total moment = 1.21 μB per formula unit
Energy of formation = 1.27 eV per atom
Uncorrected energy = -3.030 eV per atom

---

8.
Compound: YTaHg2B
Source: Alexandria
Functional: PBE
Structure: relaxed

```
data_YTaHg2B
_chemical_formula_sum 'Y1 Ta1 Hg2 B1'
_cell_length_a 4.541
_cell_length_b 4.541
_cell_length_c 4.867
_cell_angle_alpha 90.00
_cell_angle_beta 90.00
_cell_angle_gamma 90.00
_symmetry_space_group_name_H-M 'P 4/m m m'
_symmetry_Int_Tables_number 123
_symmetry_space_group_name_Hall '-P 4 2'
loop_
_atom_site_label
_atom_site_type_symbol
_atom_site_fract_x
_atom_site_fract_y
_atom_site_fract_z
Y1 Y 0.000 0.000 0.000
Ta1 Ta 0.500 0.500 0.000
Hg1 Hg 0.000 0.500 0.500
B1 B 0.000 0.000 0.500
```

Computed properties:
Size of the total moment = 0.25 μB per formula unit
Energy of formation = 0.79 eV per atom
Uncorrected energy = -4.329 eV per atom

---

9.
Compound: TcHgB3
Source: Alexandria
Functional: PBE
Structure: relaxed

```
data_TcHgB3
_chemical_formula_sum 'Tc1 Hg1 B3'
_cell_length_a 4.255
_cell_length_b 4.255
_cell_length_c 4.255
_cell_angle_alpha 90.00
_cell_angle_beta 90.00
_cell_angle_gamma 90.00
_symmetry_space_group_name_H-M 'P m -3 m'
_symmetry_Int_Tables_number 221
_symmetry_space_group_name_Hall '-P 4 2 3'
loop_
_atom_site_label
_atom_site_type_symbol
_atom_site_fract_x
_atom_site_fract_y
_atom_site_fract_z
Tc1 Tc 0.000 0.000 0.000
Hg1 Hg 0.500 0.500 0.500
B1 B 0.000 0.500 0.500
```

Computed properties:
Size of the total moment = 2.22 μB per formula unit
Energy of formation = 2.69 eV per atom
Uncorrected energy = -3.449 eV per atom
E above lowest polymorph = 1.4808 eV per atom

---

10.
Compound: Tc2HgB
Source: Alexandria
Functional: PBE
Structure: relaxed

```
data_Tc2HgB
_chemical_formula_sum 'Tc8 Hg4 B4'
_cell_length_a 6.097
_cell_length_b 6.097
_cell_length_c 6.097
_cell_angle_alpha 90.00
_cell_angle_beta 90.00
_cell_angle_gamma 90.00
_symmetry_space_group_name_H-M 'F m -3 m'
_symmetry_Int_Tables_number 225
_symmetry_space_group_name_Hall '-F 4 2 3'
loop_
_atom_site_label
_atom_site_type_symbol
_atom_site_fract_x
_atom_site_fract_y
_atom_site_fract_z
Tc1 Tc 0.250 0.250 0.250
Hg1 Hg 0.000 0.000 0.000
B1 B 0.000 0.000 0.500
```

Computed properties:
Size of the total moment = 0.00 μB per formula unit
Energy of formation = 1.03 eV per atom
Uncorrected energy = -5.894 eV per atom
E above lowest polymorph = 0.0149 eV per atom

---

11.
Compound: TcHg2B
Source: Alexandria
Functional: PBE
Structure: relaxed

```
data_TcHg2B
_chemical_formula_sum 'Tc4 Hg8 B4'
_cell_length_a 3.711
_cell_length_b 3.711
_cell_length_c 20.750
_cell_angle_alpha 90.00
_cell_angle_beta 90.00
_cell_angle_gamma 90.00
_symmetry_space_group_name_H-M 'I -4 2 d'
_symmetry_Int_Tables_number 122
_symmetry_space_group_name_Hall 'I -4 2bw'
loop_
_atom_site_label
_atom_site_type_symbol
_atom_site_fract_x
_atom_site_fract_y
_atom_site_fract_z
Tc1 Tc 0.000 0.000 0.000
Hg1 Hg 0.249 0.250 0.125
B1 B 0.000 0.000 0.500
```

Computed properties:
Size of the total moment = 0.00 μB per formula unit
Energy of formation = 1.33 eV per atom
Uncorrected energy = -3.085 eV per atom

---

12.
Compound: Tc2HgB
Source: Alexandria
Functional: PBE
Structure: relaxed

```
data_Tc2HgB
_chemical_formula_sum 'Tc8 Hg4 B4'
_cell_length_a 4.425
_cell_length_b 4.425
_cell_length_c 14.578
_cell_angle_alpha 90.00
_cell_angle_beta 90.00
_cell_angle_gamma 90.00
_symmetry_space_group_name_H-M 'I -4 2 d'
_symmetry_Int_Tables_number 122
_symmetry_space_group_name_Hall 'I -4 2bw'
loop_
_atom_site_label
_atom_site_type_symbol
_atom_site_fract_x
_atom_site_fract_y
_atom_site_fract_z
Tc1 Tc 0.116 0.250 0.125
Hg1 Hg 0.000 0.000 0.500
B1 B 0.000 0.000 0.000
```

Computed properties:
Size of the total moment = 0.00 μB per formula unit
Energy of formation = 1.02 eV per atom
Uncorrected energy = -5.909 eV per atom
E above lowest polymorph = 0.0000 eV per atom

---

13.
Compound: TcHgB3
Source: Alexandria
Functional: PBE
Structure: relaxed

```
data_TcHgB3
_chemical_formula_sum 'Tc1 Hg1 B3'
_cell_length_a 4.180
_cell_length_b 4.180
_cell_length_c 4.180
_cell_angle_alpha 90.00
_cell_angle_beta 90.00
_cell_angle_gamma 90.00
_symmetry_space_group_name_H-M 'P m -3 m'
_symmetry_Int_Tables_number 221
_symmetry_space_group_name_Hall '-P 4 2 3'
loop_
_atom_site_label
_atom_site_type_symbol
_atom_site_fract_x
_atom_site_fract_y
_atom_site_fract_z
Tc1 Tc 0.000 0.000 0.000
Hg1 Hg 0.500 0.500 0.500
B1 B 0.000 0.000 0.500
```

Computed properties:
Size of the total moment = 0.00 μB per formula unit
Energy of formation = 1.21 eV per atom
Uncorrected energy = -4.930 eV per atom
E above lowest polymorph = 0.0000 eV per atom

---

14.
Compound: Tc2HgBW
Source: Alexandria
Functional: PBE
Structure: relaxed

```
data_Tc2HgBW
_chemical_formula_sum 'Tc2 Hg1 B1 W1'
_cell_length_a 4.191
_cell_length_b 4.191
_cell_length_c 4.236
_cell_angle_alpha 90.00
_cell_angle_beta 90.00
_cell_angle_gamma 90.00
_symmetry_space_group_name_H-M 'P 4/m m m'
_symmetry_Int_Tables_number 123
_symmetry_space_group_name_Hall '-P 4 2'
loop_
_atom_site_label
_atom_site_type_symbol
_atom_site_fract_x
_atom_site_fract_y
_atom_site_fract_z
Tc1 Tc 0.000 0.500 0.000
Hg1 Hg 0.000 0.000 0.500
B1 B 0.500 0.500 0.000
W1 W 0.500 0.500 0.500
```

Computed properties:
Size of the total moment = 0.00 μB per formula unit
Energy of formation = 0.43 eV per atom
Uncorrected energy = -7.699 eV per atom

---

15.
Compound: Hg2B2Te
Source: Alexandria
Functional: PBE
Structure: relaxed

```
data_Hg2B2Te
_chemical_formula_sum 'Hg4 B4 Te2'
_cell_length_a 6.533
_cell_length_b 6.533
_cell_length_c 4.499
_cell_angle_alpha 90.00
_cell_angle_beta 90.00
_cell_angle_gamma 90.00
_symmetry_space_group_name_H-M 'P 4/m b m'
_symmetry_Int_Tables_number 127
_symmetry_space_group_name_Hall '-P 4 2ab'
loop_
_atom_site_label
_atom_site_type_symbol
_atom_site_fract_x
_atom_site_fract_y
_atom_site_fract_z
Hg1 Hg 0.163 0.337 0.000
B1 B 0.090 0.410 0.500
Te1 Te 0.000 0.000 0.500
```

Computed properties:
Size of the total moment = 0.00 μB per formula unit
ΔE_f (raw) = 383 kJ/mol of formula units
Uncorrected energy = -2.626 eV per atom
E above lowest polymorph = 0.0000 eV per atom

---

16.
Compound: HgBTe2
Source: Alexandria
Functional: PBE
Structure: relaxed

```
data_HgBTe2
_chemical_formula_sum 'Hg4 B4 Te8'
_cell_length_a 6.891
_cell_length_b 6.891
_cell_length_c 8.856
_cell_angle_alpha 90.00
_cell_angle_beta 90.00
_cell_angle_gamma 90.00
_symmetry_space_group_name_H-M 'I -4 2 d'
_symmetry_Int_Tables_number 122
_symmetry_space_group_name_Hall 'I -4 2bw'
loop_
_atom_site_label
_atom_site_type_symbol
_atom_site_fract_x
_atom_site_fract_y
_atom_site_fract_z
Hg1 Hg 0.000 0.000 0.000
B1 B 0.000 0.000 0.500
Te1 Te 0.156 0.250 0.625
```

Computed properties:
Size of the total moment = 0.00 μB per formula unit
ΔE_f (raw) = 123 kJ/mol of formula units
Uncorrected energy = -2.996 eV per atom
E above lowest polymorph = 0.0000 eV per atom

---

17.
Compound: HgBTe2
Source: Alexandria
Functional: PBE
Structure: relaxed

```
data_HgBTe2
_chemical_formula_sum 'Hg3 B3 Te6'
_cell_length_a 5.1369
_cell_length_b 5.1369
_cell_length_c 20.9378
_cell_angle_alpha 90.00
_cell_angle_beta 90.00
_cell_angle_gamma 120.00
_symmetry_space_group_name_H-M 'R -3 m'
_symmetry_Int_Tables_number 166
_symmetry_space_group_name_Hall '-R 3 2"'
loop_
_atom_site_label
_atom_site_type_symbol
_atom_site_fract_x
_atom_site_fract_y
_atom_site_fract_z
Hg1 Hg 0.0000 0.0000 0.0000
B1 B 0.0000 0.0000 0.5000
Te1 Te 0.0000 0.0000 0.4028
```

Computed properties:
Size of the total moment = 0.00 μB per formula unit
ΔE_f (raw) = 188 kJ/mol of formula units
Uncorrected energy = -2.829 eV per atom
E above lowest polymorph = 0.1675 eV per atom

---

18.
Compound: Hg2B2Te
Source: Alexandria
Functional: PBE
Structure: relaxed

```
data_Hg2B2Te
_chemical_formula_sum 'Hg4 B4 Te2'
_cell_length_a 4.251
_cell_length_b 4.251
_cell_length_c 10.173
_cell_angle_alpha 90.00
_cell_angle_beta 90.00
_cell_angle_gamma 90.00
_symmetry_space_group_name_H-M 'I 4/m m m'
_symmetry_Int_Tables_number 139
_symmetry_space_group_name_Hall '-I 4 2'
loop_
_atom_site_label
_atom_site_type_symbol
_atom_site_fract_x
_atom_site_fract_y
_atom_site_fract_z
Hg1 Hg 0.000 0.500 0.250
B1 B 0.000 0.000 0.081
Te1 Te 0.000 0.000 0.500
```

Computed properties:
Size of the total moment = 0.00 μB per formula unit
ΔE_f (raw) = 534 kJ/mol of formula units
Uncorrected energy = -2.314 eV per atom
E above lowest polymorph = 0.3124 eV per atom

---

19.
Compound: HgBTe2
Source: Alexandria
Functional: PBE
Structure: relaxed

```
data_HgBTe2
_chemical_formula_sum 'Hg4 B4 Te8'
_cell_length_a 7.213
_cell_length_b 7.213
_cell_length_c 7.213
_cell_angle_alpha 90.00
_cell_angle_beta 90.00
_cell_angle_gamma 90.00
_symmetry_space_group_name_H-M 'F m -3 m'
_symmetry_Int_Tables_number 225
_symmetry_space_group_name_Hall '-F 4 2 3'
loop_
_atom_site_label
_atom_site_type_symbol
_atom_site_fract_x
_atom_site_fract_y
_atom_site_fract_z
Hg1 Hg 0.000 0.000 0.000
B1 B 0.000 0.000 0.500
Te1 Te 0.250 0.250 0.250
```

Computed properties:
Size of the total moment = 0.00 μB per formula unit
ΔE_f (raw) = 430 kJ/mol of formula units
Uncorrected energy = -2.201 eV per atom
E above lowest polymorph = 0.7952 eV per atom

---

20.
Compound: HgBTe3
Source: Alexandria
Functional: PBE
Structure: relaxed

```
data_HgBTe3
_chemical_formula_sum 'Hg1 B1 Te3'
_cell_length_a 5.626
_cell_length_b 5.626
_cell_length_c 5.626
_cell_angle_alpha 90.00
_cell_angle_beta 90.00
_cell_angle_gamma 90.00
_symmetry_space_group_name_H-M 'P m -3 m'
_symmetry_Int_Tables_number 221
_symmetry_space_group_name_Hall '-P 4 2 3'
loop_
_atom_site_label
_atom_site_type_symbol
_atom_site_fract_x
_atom_site_fract_y
_atom_site_fract_z
Hg1 Hg 0.000 0.000 0.000
B1 B 0.500 0.500 0.500
Te1 Te 0.000 0.000 0.500
```

Computed properties:
Size of the total moment = 0.00 μB per formula unit
ΔE_f (raw) = 722 kJ/mol of formula units
Uncorrected energy = -1.784 eV per atom
E above lowest polymorph = 0.8361 eV per atom